{"formula": "MgMoOs2", "functional": "PBE", "state": "optimized geometry", "lattice": [[-3.2872, -1.4057, 3.6520], [-1.6110, -0.1999, -4.9136], [0.1144, -2.6751, -0.5480]], "species": ["Mg", "Mo", "Os", "Os"], "fractional_positions": [[0.0000, 0.5000, 0.5000], [0.5000, 0.5000, 0.0000], [0.0000, 0.0000, 0.0000], [0.5000, 0.0000, 0.5000]], "crystal_system": "monoclinic", "dft_energy_ev_per_fu": -33.7, "magnetic_moment_mub_per_cell": 0.000, "vol_a3_per_cell": 61, "spacegroup": "C2/m (12)", "formation_energy_ev_per_atom": 0.31}